## Ac3DyS (PBE-GGA)

Data for a geometry-optimized Ac3DyS structure.

Lattice parameters (Å, degrees): 5.822 5.822 5.822 90.00 90.00 90.00
Positions (direct):
1 Dy 0.500 0.500 0.500
2 S 0.000 0.000 0.000
3 Ac 0.000 0.000 0.500
4 Ac 0.500 0.000 0.000
5 Ac 0.000 0.500 0.000

The value obtained for the density of states at the Fermi level is 1.12 states/eV/atom. The total magnetization is 0.00 Bohr magnetons per cell. Its space group is Pm-3m, No. 221. The value obtained for the electronic total energy is -0.356 Ry per atom. As for the uncorrected formation energy: -0.63 eV/atom.